[1]
Computed, not measured: an optimized crystal structure of Li2Mn3SnO8 at the PBE+U level of DFT.

## Properties
offset from the most stable computed form	44	meV/atom

Lattice parameters (Å, degrees): 5.9928 5.9928 15.3705 90.00 90.00 120.00
Last column: nearest neighbours and their distance in Å.
Space group R-3m (No. 166, hexagonal axes)
One atom of each set of equivalent atoms:
Li: 0.0000 0.0000 0.1214 x6  3 O 1.97
Mn: 0.0000 0.5000 0.0000 x9  6 O 1.97-2.06
Sn: 0.0000 0.0000 0.5000 x3  6 O 2.09
O: 0.0000 0.0000 0.2716 x6  3 Mn 1.97
O: 0.0249 0.5124 0.2543 x18  1 Li 1.97, 2 Mn 2.06, 1 Sn 2.09

[2]
Computed, not measured: an optimized crystal structure of Li4Mn3Sn5O16 at the PBE+U level of DFT.

Lattice parameters (Å, degrees): 10.9386 6.1135 9.9622 90.00 91.98 90.00
Last column: nearest neighbours and their distance in Å.
Space group Cm (No. 8)
One atom of each set of equivalent atoms:
Li: 0.0000 0.0000 0.0000 x2  4 O 1.83-2.03
Li: 0.0166 0.0000 0.5082 x2  3 O 1.84-1.98
Li: 0.1706 0.5000 0.0922 x2  4 O 2.01-2.13
Li: 0.3396 0.0000 0.5977 x2  4 O 2.02-2.11
Mn: 0.0860 0.2539 0.7829 x4  4 O 1.98-2.05
Mn: 0.1708 0.0000 0.2801 x2  6 O 2.11-2.22
Sn: 0.1662 0.5000 0.5078 x2  6 O 2.07-2.22
Sn: 0.3282 0.0000 0.0020 x2  6 O 2.10-2.23
Sn: 0.3312 0.5000 0.7776 x2  6 O 2.09-2.13
Sn: 0.4158 0.2462 0.2805 x4  6 O 2.04-2.13
O: 0.0046 0.0000 0.6923 x2  1 Li 1.84, 2 Mn 1.99
O: 0.0255 0.5000 0.6631 x2  2 Mn 2.02, 1 Li 2.11, 1 Sn 2.22
O: 0.0786 0.2485 0.4031 x4  1 Li 1.98, 2 Sn 2.07-2.12
O: 0.1559 0.0000 0.8956 x2  1 Li 2.03, 2 Mn 2.05, 1 Sn 2.13
O: 0.1646 0.5000 0.8829 x2  2 Mn 1.98, 1 Li 2.08, 1 Sn 2.13
O: 0.2476 0.2745 0.6460 x4  1 Li 2.02, 2 Sn 2.09-2.12
O: 0.2649 0.2295 0.1454 x4  1 Li 2.01, 2 Sn 2.10-2.14, 1 Mn 2.22
O: 0.3397 0.5000 0.3984 x2  3 Sn 2.13-2.22, 1 Li 2.19
O: 0.3425 0.0000 0.3945 x2  1 Li 2.03, 2 Sn 2.06, 1 Mn 2.16
O: 0.4125 0.2552 0.8988 x4  1 Li 2.03, 2 Sn 2.10, 1 Mn 2.26
O: 0.4850 0.0000 0.1517 x2  1 Li 2.13, 3 Sn 2.13-2.23
O: 0.4961 0.5000 0.1832 x2  1 Li 1.83, 2 Sn 2.04

[3]
Computed, not measured: an optimized crystal structure of LiMnSnO4 at the PBE+U level of DFT.

## Properties
offset from the most stable computed form	86	meV/atom

Lattice parameters (Å, degrees): 5.9306 5.9306 9.2728 90.00 90.00 90.00
Last column: nearest neighbours and their distance in Å.
Space group P4_322 (No. 95)
One atom of each set of equivalent atoms:
Li: 0.0000 0.2342 0.0000 x4  4 O 2.04-2.11
Mn: 0.2361 0.5000 0.2500 x4  4 O 1.94-1.99
Sn: 0.2618 0.2618 0.6250 x4  4 O 1.99-2.00
O: 0.0107 0.2618 0.2507 x8  1 Mn 1.94, 1 Sn 1.99, 1 Li 2.04
O: 0.2625 0.4737 0.0091 x8  1 Mn 1.99, 1 Sn 2.00, 1 Li 2.11

[4]
Computed, not measured: an optimized crystal structure of Li2Mn2SnO6 at the PBE+U level of DFT.

Lattice parameters (Å, degrees): 8.9976 5.5682 10.3275 90.00 90.00 90.00
Last column: nearest neighbours and their distance in Å.
Space group Cmce (No. 64)
One atom of each set of equivalent atoms:
Li: 0.2500 0.1432 0.2500 x8  4 O 2.02-2.17
Mn: 0.1632 0.0000 0.0000 x8  4 O 1.96
Sn: 0.0000 0.0000 0.5000 x4  6 O 2.11
O: 0.0000 0.1609 0.9082 x8  2 Mn 1.96, 1 Sn 2.11
O: 0.1796 0.1272 0.6119 x16  1 Mn 1.96, 2 Li 2.02-2.17, 1 Sn 2.11

[5]
Computed, not measured: an optimized crystal structure of LiMn2SnO6 at the PBE+U level of DFT.

Lattice parameters (Å, degrees): 5.1039 5.1851 5.4159 63.28 89.77 61.15
Last column: nearest neighbours and their distance in Å.
Space group P1 (No. 1)
One atom of each set of equivalent atoms:
Li: 0.0000 0.0000 0.0000 x1  5 O 2.06-2.25
Mn: 0.2121 0.5681 0.6312 x1  6 O 1.90-2.02
Mn: 0.7206 0.5546 0.1410 x1  5 O 1.95-2.12
Sn: 0.5098 0.9752 0.5261 x1  6 O 2.03-2.17
O: 0.1106 0.0451 0.3590 x1  2 Mn 2.01-2.12, 1 Sn 2.03, 1 Li 2.17
O: 0.3236 0.1050 0.8321 x1  1 Mn 1.90, 1 Li 2.06, 1 Sn 2.12
O: 0.4423 0.4532 0.3555 x1  2 Mn 1.95-2.02, 1 Sn 2.06
O: 0.5769 0.4879 0.8416 x1  2 Mn 1.94-2.01, 1 Li 2.14, 1 Sn 2.17
O: 0.8326 0.7301 0.3524 x1  2 Mn 1.98-2.01, 1 Sn 2.06
O: 0.9318 0.7276 0.8444 x1  2 Mn 1.94-2.04, 1 Li 2.09, 1 Sn 2.15

[6]
Computed, not measured: an optimized crystal structure of Li2MnSnO4 at the PBE+U level of DFT.

## Properties
offset from the most stable computed form	11	meV/atom

Lattice parameters (Å, degrees): 5.3265 3.1441 5.4846 90.00 110.23 90.00
Last column: nearest neighbours and their distance in Å.
Space group P2/m (No. 10)
One atom of each set of equivalent atoms:
Li: 0.0000 0.0000 0.0000 x1  6 O 2.18-2.22
Li: 0.0000 0.5000 0.5000 x1  6 O 2.26-2.37
Mn: 0.5000 0.0000 0.5000 x1  6 O 2.20-2.25
Sn: 0.5000 0.5000 0.0000 x1  6 O 2.06-2.15
O: 0.2586 0.0000 0.7658 x2  2 Sn 2.15, 3 Li 2.18-2.26, 1 Mn 2.25
O: 0.2703 0.5000 0.2358 x2  1 Sn 2.06, 2 Mn 2.20, 2 Li 2.22

[7]
Computed, not measured: an optimized crystal structure of Li4Ti3Mn2Sn3O16 at the PBE+U level of DFT.

Lattice parameters (Å, degrees): 6.1504 6.1661 10.0500 89.72 89.78 60.42
Last column: nearest neighbours and their distance in Å.
Space group P1 (No. 1)
One atom of each set of equivalent atoms:
Li: 0.0000 0.0000 0.0000 x1  4 O 1.83-2.00
Li: 0.0009 0.9800 0.4937 x1  3 O 1.83-1.96
Li: 0.3501 0.3312 0.8912 x1  4 O 2.00-2.19
Li: 0.6911 0.6772 0.3908 x1  4 O 2.02-2.10
Ti: 0.1417 0.6780 0.2040 x1  2 O 1.79-1.95
Ti: 0.6601 0.2170 0.2292 x1  2 O 1.77-1.98
Ti: 0.8467 0.8244 0.7217 x1  6 O 1.93-2.08
Mn: 0.3488 0.3347 0.4981 x1  6 O 2.17-2.37
Mn: 0.6740 0.6596 0.9980 x1  6 O 2.15-2.40
Sn: 0.1959 0.1577 0.2152 x1  6 O 2.06-2.16
Sn: 0.3509 0.8285 0.7121 x1  6 O 2.08-2.12
Sn: 0.8430 0.3326 0.7103 x1  6 O 2.08-2.12
O: 0.0044 0.9917 0.3118 x1  1 Li 1.83, 2 Ti 2.01-2.05
O: 0.0086 0.9921 0.8183 x1  1 Li 1.83, 1 Ti 2.01
O: 0.0561 0.4885 0.3280 x1  1 Ti 1.95, 1 Li 2.05, 1 Sn 2.11
O: 0.1580 0.6843 0.6059 x1  1 Li 1.94, 1 Ti 2.03, 1 Sn 2.10, 1 Mn 2.17
O: 0.1657 0.1483 0.5958 x1  1 Li 2.05, 2 Sn 2.08, 1 Mn 2.19
O: 0.3186 0.8358 0.1041 x1  1 Li 2.00, 1 Ti 2.04, 1 Sn 2.07, 1 Mn 2.18
O: 0.3619 0.3439 0.1085 x1  2 Ti 2.01-2.06, 1 Sn 2.16, 1 Li 2.19
O: 0.5151 0.0352 0.3281 x1  1 Ti 2.00, 1 Li 2.02, 1 Sn 2.06
O: 0.5169 0.4848 0.3320 x1  1 Ti 1.77
O: 0.5293 0.5119 0.8315 x1  1 Li 2.00, 2 Sn 2.08
O: 0.5407 0.9655 0.8275 x1  1 Ti 1.95, 1 Li 2.07, 1 Sn 2.10
O: 0.6870 0.6704 0.5995 x1  1 Ti 2.08, 1 Li 2.10, 2 Sn 2.12
O: 0.7008 0.1392 0.6049 x1  1 Li 1.96, 1 Ti 2.05, 1 Sn 2.09, 1 Mn 2.17
O: 0.8576 0.3042 0.1065 x1  1 Li 1.95, 1 Ti 1.98, 1 Sn 2.12
O: 0.8706 0.8169 0.1002 x1  1 Ti 1.79, 1 Li 1.95
O: 0.9842 0.5203 0.8255 x1  1 Ti 1.93, 1 Li 2.07, 1 Sn 2.11

[8]
Computed, not measured: an optimized crystal structure of Li4Ti2Mn3Sn3O16 at the PBE+U level of DFT.

Lattice parameters (Å, degrees): 10.7047 6.1484 9.7364 90.00 91.00 90.00
Last column: nearest neighbours and their distance in Å.
Space group Cm (No. 8)
One atom of each set of equivalent atoms:
Li: 0.0000 0.0000 0.0000 x2  1 O 1.78
Li: 0.0147 0.0000 0.4877 x2  3 O 1.82-2.02
Li: 0.1641 0.5000 0.8973 x2  4 O 2.00-2.11
Li: 0.3240 0.0000 0.3960 x2  4 O 1.94-2.07
Ti: 0.1494 0.5000 0.4816 x2  1 O 1.80
Ti: 0.3220 0.0000 0.9985 x2  3 O 1.80-1.99
Mn: 0.0786 0.2568 0.2109 x4  4 O 2.00-2.15
Mn: 0.1729 0.0000 0.7186 x2  6 O 1.98-2.17
Sn: 0.3237 0.5000 0.2160 x2  6 O 2.05-2.16
Sn: 0.4171 0.2465 0.7112 x4  6 O 2.05-2.17
O: 0.0000 0.0000 0.3010 x2  1 Li 1.82, 2 Mn 2.00
O: 0.0154 0.5000 0.3673 x2  1 Ti 1.80
O: 0.0904 0.2450 0.5997 x4  1 Li 2.02, 1 Ti 2.05, 1 Mn 2.09, 1 Sn 2.17
O: 0.1576 0.5000 0.1044 x2  2 Mn 2.01, 1 Li 2.02, 1 Sn 2.07
O: 0.1733 0.0000 0.0814 x2  1 Ti 1.80, 1 Li 2.00
O: 0.2341 0.2827 0.3481 x4  1 Li 2.04, 1 Ti 2.08, 1 Sn 2.10, 1 Mn 2.12
O: 0.2587 0.2136 0.8393 x4  1 Mn 1.98, 1 Li 2.11, 1 Sn 2.13, 1 Ti 2.13
O: 0.3395 0.0000 0.5952 x2  1 Li 1.94, 2 Sn 2.06, 1 Mn 2.17
O: 0.3428 0.5000 0.5904 x2  2 Sn 2.10, 1 Li 2.11, 1 Ti 2.31
O: 0.4071 0.2489 0.0918 x4  1 Ti 1.99, 1 Li 2.05, 1 Mn 2.15, 1 Sn 2.16
O: 0.4828 0.0000 0.8424 x2  1 Li 2.00, 2 Sn 2.10
O: 0.4970 0.5000 0.8168 x2  1 Li 1.78

Number 1: VASP energy -6.649 eV per atom. Number 2: VASP energy -6.360 eV per atom. Number 3: VASP energy -6.392 eV per atom. Number 4: VASP energy -6.484 eV per atom. Number 5: VASP energy -6.621 eV per atom. Number 6: VASP energy -6.170 eV per atom. Number 7: VASP energy -7.089 eV per atom. Number 8: VASP energy -6.899 eV per atom.